(1)
# Li2Ca2AlAg5

A geometry-optimized Li2Ca2AlAg5 structure (GGA-PBE, the Alexandria database).

Output
- Space-group type: P4/mbm (127)
- Total energy: -2.78 eV/atom
- Crystal system: tetragonal

Cell lengths 10.1664, 10.1664, 3.8118 Å; angles 90.00, 90.00, 90.00 degrees
With the nearest neighbours (Å) after each atom.
Positions (direct):
Li1 0.1205 0.3795 0.0000  6 Ag 2.58-2.73, 1 Ca 2.86
Li2 0.3795 0.8795 0.0000  6 Ag 2.58-2.73, 1 Ca 2.86
Li3 0.6205 0.1205 0.0000  6 Ag 2.58-2.73, 1 Ca 2.86
Li4 0.8795 0.6205 0.0000  6 Ag 2.58-2.73, 1 Ca 2.86
Ca1 0.1806 0.6806 0.0000  3 Li 2.86-3.12
Ca2 0.3194 0.1806 0.0000  3 Li 2.86-3.12
Ca3 0.6806 0.8194 0.0000  3 Li 2.86-3.12
Ca4 0.8194 0.3194 0.0000  3 Li 2.86-3.12
Al1 0.0000 0.0000 0.0000  8 Ag 2.83
Al2 0.5000 0.5000 0.0000  8 Ag 2.83
Ag1 0.0000 0.5000 0.5000  4 Li 2.58
Ag2 0.0527 0.1995 0.5000  2 Li 2.73, 2 Al 2.83, 2 Ag 2.97
Ag3 0.1995 0.9473 0.5000  2 Li 2.73, 2 Al 2.83, 2 Ag 2.97
Ag4 0.3005 0.4473 0.5000  2 Li 2.73, 2 Al 2.83, 2 Ag 2.97
Ag5 0.4473 0.6995 0.5000  2 Li 2.73, 2 Al 2.83, 2 Ag 2.97
Ag6 0.5000 0.0000 0.5000  4 Li 2.58
Ag7 0.5527 0.3005 0.5000  2 Li 2.73, 2 Al 2.83, 2 Ag 2.97
Ag8 0.6995 0.5527 0.5000  2 Li 2.73, 2 Al 2.83, 2 Ag 2.97
Ag9 0.8005 0.0527 0.5000  2 Li 2.73, 2 Al 2.83, 2 Ag 2.97
Ag10 0.9473 0.8005 0.5000  2 Li 2.73, 2 Al 2.83, 2 Ag 2.97

(2)
# Pr3Al2Hg3

A geometry-optimized Pr3Al2Hg3 structure (GGA-PBE, the Alexandria database).

Output
- Space-group type: Cmcm (63)
- Total energy: -3.28 eV/atom
- Crystal system: orthorhombic

Cell lengths 6.1533, 6.1533, 15.7055 Å; angles 90.00, 90.00, 135.47 degrees
With the nearest neighbours (Å) after each atom.
Positions (direct):
Pr1 0.0837 0.9163 0.6077  7 Hg 3.29-3.51, 4 Al 3.32-3.60
Pr2 0.0837 0.9163 0.8923  7 Hg 3.29-3.51, 4 Al 3.32-3.60
Pr3 0.3686 0.6314 0.7500  5 Hg 3.25-3.38, 4 Al 3.40
Pr4 0.6314 0.3686 0.2500  5 Hg 3.25-3.38, 4 Al 3.40
Pr5 0.9163 0.0837 0.1077  7 Hg 3.29-3.51, 4 Al 3.32-3.60
Pr6 0.9163 0.0837 0.3923  7 Hg 3.29-3.51, 4 Al 3.32-3.60
Al1 0.2085 0.7915 0.1030  4 Hg 2.73-2.91
Al2 0.2085 0.7915 0.3970  4 Hg 2.73-2.91
Al3 0.7915 0.2085 0.6030  4 Hg 2.73-2.91
Al4 0.7915 0.2085 0.8970  4 Hg 2.73-2.91
Hg1 0.3463 0.6537 0.2500  2 Al 2.79
Hg2 0.3759 0.6241 0.5371  3 Al 2.73-2.91
Hg3 0.3759 0.6241 0.9629  3 Al 2.73-2.91
Hg4 0.6241 0.3759 0.0371  3 Al 2.73-2.91
Hg5 0.6241 0.3759 0.4629  3 Al 2.73-2.91
Hg6 0.6537 0.3463 0.7500  2 Al 2.79

(3)
# LaCuW3

A geometry-optimized LaCuW3 structure (GGA-PBE, the Alexandria database).

Output
- Space-group type: Pm-3m (221)
- E above lowest polymorph: 1469.9 meV/atom
- Crystal system: cubic

Cell lengths 4.8221, 4.8221, 4.8221 Å; angles 90.00, 90.00, 90.00 degrees
With the nearest neighbours (Å) after each atom.
Positions (direct):
La1 0.0000 0.0000 0.0000  6 W 2.41
Cu1 0.5000 0.5000 0.5000  12 W 3.41
W1 0.0000 0.0000 0.5000  2 La 2.41
W2 0.0000 0.5000 0.0000  2 La 2.41
W3 0.5000 0.0000 0.0000  2 La 2.41

(4)
# TbCePmTm

A geometry-optimized TbCePmTm structure (GGA-PBE, the Alexandria database).

Output
- Space-group type: F-43m (216)
- Total energy: -4.75 eV/atom
- Crystal system: cubic

Cell lengths 5.6829, 5.6829, 5.6829 Å; angles 60.00, 60.00, 60.00 degrees
With the nearest neighbours (Å) after each atom.
Positions (direct):
Tb1 0.0000 0.0000 0.0000  4 Ce 3.48, 4 Tm 3.48
Ce1 0.7500 0.7500 0.7500  4 Tb 3.48, 4 Pm 3.48
Pm1 0.5000 0.5000 0.5000  4 Ce 3.48, 4 Tm 3.48
Tm1 0.2500 0.2500 0.2500  4 Tb 3.48, 4 Pm 3.48

(5)
# Tl2In3

A geometry-optimized Tl2In3 structure (GGA-PBE, the Alexandria database).

Output
- Space-group type: Fdd2 (43)
- E above lowest polymorph: 34.0 meV/atom
- Crystal system: orthorhombic

Cell lengths 16.0452, 5.7045, 16.8674 Å; angles 71.96, 19.76, 88.28 degrees
With the nearest neighbours (Å) after each atom.
Positions (direct):
Tl1 0.0342 0.4658 0.0659  6 In 3.29-3.50, 4 Tl 3.31-3.62
Tl2 0.1841 0.8159 0.2158  6 In 3.29-3.50, 4 Tl 3.31-3.62
Tl3 0.4658 0.0342 0.4341  6 In 3.29-3.50, 4 Tl 3.31-3.62
Tl4 0.8159 0.1841 0.7842  6 In 3.29-3.50, 4 Tl 3.31-3.62
In1 0.2101 0.2101 0.7899  4 In 3.31-3.46, 6 Tl 3.32-3.50
In2 0.4601 0.4601 0.0399  4 In 3.31-3.46, 6 Tl 3.32-3.50
In3 0.5103 0.6645 0.2880  5 In 3.24-3.46, 3 Tl 3.29-3.45
In4 0.6645 0.5103 0.5371  5 In 3.24-3.46, 3 Tl 3.29-3.45
In5 0.7129 0.9620 0.5855  5 In 3.24-3.46, 3 Tl 3.29-3.45
In6 0.9620 0.7129 0.7397  5 In 3.24-3.46, 3 Tl 3.29-3.45

(6)
# Tb2NdSm7

A geometry-optimized Tb2NdSm7 structure (GGA-PBE, the Alexandria database).

Output
- Space-group type: P-1 (2)
- E above lowest polymorph: 0.0 meV/atom
- Crystal system: triclinic

Cell lengths 5.1160, 7.2512, 9.5818 Å; angles 100.72, 105.47, 90.15 degrees
With the nearest neighbours (Å) after each atom.
Positions (direct):
Tb1 0.2004 0.0994 0.4007  10 Sm 3.60-3.64, 2 Tb 3.60-3.61
Tb2 0.7996 0.9006 0.5993  10 Sm 3.60-3.64, 2 Tb 3.60-3.61
Nd1 0.0000 0.5000 0.0000  12 Sm 3.63-3.64
Sm1 0.0000 0.0000 0.0000  8 Sm 3.62-3.63, 2 Nd 3.63, 2 Tb 3.63
Sm2 0.2006 0.6010 0.4012  7 Sm 3.60-3.63, 4 Tb 3.61-3.64, 1 Nd 3.63
Sm3 0.3991 0.1982 0.7980  3 Tb 3.60-3.61, 7 Sm 3.61-3.65, 2 Nd 3.63-3.64
Sm4 0.3992 0.7010 0.7986  8 Sm 3.60-3.65, 2 Tb 3.61-3.62, 2 Nd 3.63
Sm5 0.6008 0.2990 0.2014  8 Sm 3.60-3.65, 2 Tb 3.61-3.62, 2 Nd 3.63
Sm6 0.6009 0.8018 0.2020  3 Tb 3.60-3.61, 7 Sm 3.61-3.65, 2 Nd 3.63-3.64
Sm7 0.7994 0.3990 0.5988  7 Sm 3.60-3.63, 4 Tb 3.61-3.64, 1 Nd 3.63

Result set for calculated density: 5.567, 8.589, 11.166, 7.843, 8.674, 7.483 g cm⁻³, one per record in the order listed.